P.
Compound: RbSn2C2
Source: Alexandria via LeMat-Bulk
Functional: PBE
Structure: optimized geometry

POSCAR file:
```
RbSn2C2
1.0
4.3529 0.0000 0.0000
0.0000 4.3529 0.0000
2.1764 2.1764 5.1444
C Rb Sn
2 1 2
Direct
0.2500 0.7500 0.5000
0.7500 0.2500 0.5000
0.0000 0.0000 0.0000
0.6642 0.6642 0.6716
0.3358 0.3358 0.3284
```


Q.
Compound: RbSn2C2
Source: Alexandria via LeMat-Bulk
Functional: PBE
Structure: optimized geometry

POSCAR file:
```
RbSn2C2
1.0
-4.0068 -0.9181 1.8654
-1.2229 -2.2346 -3.7266
-0.2569 -6.9238 1.5021
Sn C Rb
2 2 1
Direct
0.2500 0.7500 0.5000
0.7500 0.2500 0.5000
0.7104 0.7104 0.5792
0.2896 0.2896 0.4208
0.0000 0.0000 0.0000
```


Bottom line: P, by a margin of 94 meV/atom.


P.
Compound: Rb2SrC
Source: Alexandria via LeMat-Bulk
Functional: PBE
Structure: optimized geometry

POSCAR file:
```
Rb2SrC
1.0
12.9231 0.0000 0.0000
0.0000 12.9231 0.0000
6.4615 6.4615 2.4754
Rb Sr C
4 2 2
Direct
0.3750 0.5464 0.7500
0.8750 0.7036 0.7500
0.2964 0.6250 0.2500
0.4536 0.1250 0.2500
0.7500 0.2500 0.5000
0.0000 0.0000 0.0000
0.5000 0.5000 0.0000
0.2500 0.7500 0.5000
```


Q.
Compound: Rb2SrC
Source: Alexandria via LeMat-Bulk
Functional: PBE
Structure: optimized geometry

POSCAR file:
```
Rb2SrC
1.0
0.0000 4.0976 4.0976
4.0976 0.0000 4.0976
4.0976 4.0976 0.0000
Sr C Rb
1 1 2
Direct
0.5000 0.5000 0.5000
0.0000 0.0000 0.0000
0.7500 0.7500 0.7500
0.2500 0.2500 0.2500
```


Bottom line: P, by a margin of 662 meV/atom.


P.
Compound: RbSrC2
Source: Alexandria via LeMat-Bulk
Functional: PBE
Structure: optimized geometry

POSCAR file:
```
RbSrC2
1.0
4.8774 0.0000 0.0000
0.0000 4.8774 0.0000
2.4387 2.4387 8.8986
Rb C Sr
2 4 2
Direct
0.2500 0.7500 0.5000
0.5000 0.5000 0.0000
0.8747 0.1250 0.2500
0.8753 0.6250 0.2500
0.8750 0.1247 0.7500
0.3750 0.1253 0.7500
0.0000 0.0000 0.0000
0.7500 0.2500 0.5000
```


Q.
Compound: RbSrC2
Source: Alexandria via LeMat-Bulk
Functional: PBE
Structure: optimized geometry

POSCAR file:
```
RbSrC2
1.0
0.0000 3.4637 3.4637
3.4637 0.0000 3.4637
3.4637 3.4637 0.0000
C Rb Sr
2 1 1
Direct
0.2500 0.2500 0.2500
0.7500 0.7500 0.7500
0.0000 0.0000 0.0000
0.5000 0.5000 0.5000
```


Bottom line: Q, by a margin of 40 meV/atom.


P.
Compound: RbSrC3
Source: Alexandria via LeMat-Bulk
Functional: PBE
Structure: optimized geometry

POSCAR file:
```
RbSrC3
1.0
-0.8739 4.8363 -0.6493
-1.7154 0.3130 4.6405
4.5682 1.0428 1.6183
Rb C Sr
1 3 1
Direct
0.0000 0.0000 0.0000
0.5000 0.0000 0.0000
0.0000 0.5000 0.0000
0.0000 0.0000 0.5000
0.5000 0.5000 0.5000
```


Q.
Compound: RbSrC3
Source: Alexandria via LeMat-Bulk
Functional: PBE
Structure: optimized geometry

POSCAR file:
```
RbSrC3
1.0
5.4459 0.0000 0.0000
0.0000 5.4459 0.0000
0.0000 0.0000 5.4459
Sr C Rb
1 3 1
Direct
0.0000 0.0000 0.0000
0.0000 0.5000 0.0000
0.5000 0.0000 0.0000
0.0000 0.0000 0.5000
0.5000 0.5000 0.5000
```


Bottom line: Q, by a margin of 512 meV/atom.


P.
Compound: RbSr2C
Source: Alexandria via LeMat-Bulk
Functional: PBE
Structure: optimized geometry

POSCAR file:
```
RbSr2C
1.0
8.3959 0.0000 0.0000
0.0000 8.3959 0.0000
4.1979 4.1979 5.7277
Sr C Rb
4 2 2
Direct
0.3750 0.5802 0.7500
0.4198 0.1250 0.2500
0.3302 0.6250 0.2500
0.8750 0.6698 0.7500
0.2500 0.7500 0.5000
0.5000 0.5000 0.0000
0.7500 0.2500 0.5000
0.0000 0.0000 0.0000
```


Q.
Compound: RbSr2C
Source: Alexandria via LeMat-Bulk
Functional: PBE
Structure: optimized geometry

POSCAR file:
```
RbSr2C
1.0
0.0000 3.8840 3.8840
3.8840 0.0000 3.8840
3.8840 3.8840 0.0000
Rb Sr C
1 2 1
Direct
0.5000 0.5000 0.5000
0.7500 0.7500 0.7500
0.2500 0.2500 0.2500
0.0000 0.0000 0.0000
```


Bottom line: P, by a margin of 720 meV/atom.


P.
Compound: RbTcC3
Source: Alexandria via LeMat-Bulk
Functional: PBE
Structure: optimized geometry

POSCAR file:
```
RbTcC3
1.0
4.1509 0.0000 0.0000
0.0000 4.1509 0.0000
0.0000 0.0000 4.1509
Tc C Rb
1 3 1
Direct
0.5000 0.5000 0.5000
0.5000 0.0000 0.0000
0.0000 0.0000 0.5000
0.0000 0.5000 0.0000
0.0000 0.0000 0.0000
```


Q.
Compound: RbTcC3
Source: Alexandria via LeMat-Bulk
Functional: PBE
Structure: optimized geometry

POSCAR file:
```
RbTcC3
1.0
4.1579 0.0000 0.0000
0.0000 4.1579 0.0000
0.0000 0.0000 4.1579
C Rb Tc
3 1 1
Direct
0.5000 0.0000 0.0000
0.0000 0.5000 0.0000
0.0000 0.0000 0.5000
0.5000 0.5000 0.5000
0.0000 0.0000 0.0000
```


Bottom line: Q, by a margin of 3074 meV/atom.